(1)
A relaxed structure of DyHo6ErTm2, computed with GGA-PBE.

Properties
- space-group type = No. 15
- ΔE_f (eV per atom) = 0.1223

```
DyHo6ErTm2
1.0
4.4785 -7.4235 0.0000
4.4785 7.4235 0.0000
-1.2107 0.0000 9.3528
Dy Ho Er Tm
2 12 2 4
Direct
0.0242 0.9758 0.7500
0.9758 0.0242 0.2500
0.0183 0.5684 0.6842
0.1235 0.7524 0.0558
0.2476 0.8765 0.4442
0.2909 0.5049 0.8805
0.4316 0.9817 0.8158
0.4951 0.7091 0.6195
0.5049 0.2909 0.3805
0.5684 0.0183 0.1842
0.7091 0.4951 0.1195
0.7524 0.1235 0.5558
0.8765 0.2476 0.9442
0.9817 0.4316 0.3158
0.4091 0.5909 0.2500
0.5909 0.4091 0.7500
0.1973 0.3029 0.5449
0.3029 0.1973 0.0449
0.6971 0.8027 0.9551
0.8027 0.6971 0.4551
```


(2)
A relaxed structure of PmAgSb2, computed with GGA-PBE.

Properties
- energy above the most stable polymorph in this dataset (meV per atom) = 319
- formation energy (no corrections) (meV per atom) = -353
- space-group type = No. 166

```
PmAgSb2
1.0
4.9625 0.0000 0.0000
-2.4813 4.2977 0.0000
0.0000 0.0000 14.9135
Pm Ag Sb
3 3 6
Direct
0.0000 0.0000 0.0000
0.3333 0.6667 0.6667
0.6667 0.3333 0.3333
0.0000 0.0000 0.5000
0.3333 0.6667 0.1667
0.6667 0.3333 0.8333
0.0000 0.0000 0.2252
0.0000 0.0000 0.7748
0.3333 0.6667 0.4415
0.3333 0.6667 0.8919
0.6667 0.3333 0.1081
0.6667 0.3333 0.5585
```


(3)
A relaxed structure of SmSiPd4, computed with GGA-PBE.

Properties
- energy above the most stable polymorph in this dataset (meV per atom) = 0
- formation energy (no corrections) (meV per atom) = -753
- space-group type = No. 51

```
SmSiPd4
1.0
7.7828 0.0000 0.0000
0.0000 3.8639 0.0000
0.0000 0.0000 6.9768
Sm Si Pd
2 2 8
Direct
0.2500 0.0000 0.1316
0.7500 0.0000 0.8684
0.2500 0.0000 0.7026
0.7500 0.0000 0.2974
0.0000 0.0000 0.5000
0.0636 0.5000 0.8057
0.2500 0.5000 0.4518
0.4364 0.5000 0.8057
0.5000 0.0000 0.5000
0.5636 0.5000 0.1943
0.7500 0.5000 0.5482
0.9364 0.5000 0.1943
```


(4)
A relaxed structure of V2AsP, computed with GGA-PBE.

Properties
- space-group type = No. 122
- ΔE_f (eV per atom) = 0.0414

```
V2AsP
1.0
5.7174 0.0000 0.0000
0.0000 5.7174 0.0000
0.0000 0.0000 10.4682
V As P
8 4 4
Direct
0.2346 0.2500 0.1250
0.2500 0.7346 0.3750
0.2500 0.7654 0.8750
0.2654 0.2500 0.6250
0.7346 0.7500 0.6250
0.7500 0.2346 0.8750
0.7500 0.2654 0.3750
0.7654 0.7500 0.1250
0.0000 0.0000 0.5000
0.0000 0.5000 0.7500
0.5000 0.0000 0.2500
0.5000 0.5000 0.0000
0.0000 0.0000 0.0000
0.0000 0.5000 0.2500
0.5000 0.0000 0.7500
0.5000 0.5000 0.5000
```


(5)
A relaxed structure of CdSn2As, computed with GGA-PBE.

Properties
- energy above the most stable polymorph in this dataset (meV per atom) = 19
- space-group type = No. 42
- ΔE_f (eV per atom) = 0.0338

```
CdSn2As
1.0
5.8414 0.0000 0.0000
0.0000 11.0776 0.0000
0.0000 0.0000 6.2751
Cd Sn As
4 8 4
Direct
0.0000 0.0000 0.0000
0.0000 0.5000 0.5000
0.5000 0.0000 0.5000
0.5000 0.5000 0.0000
0.0000 0.2175 0.6734
0.0000 0.2825 0.1734
0.0000 0.7175 0.1734
0.0000 0.7825 0.6734
0.5000 0.2175 0.1734
0.5000 0.2825 0.6734
0.5000 0.7175 0.6734
0.5000 0.7825 0.1734
0.0000 0.0000 0.4511
0.0000 0.5000 0.9511
0.5000 0.0000 0.9511
0.5000 0.5000 0.4511
```


(6)
A relaxed structure of Er4GaTe2Se, computed with GGA-PBE.

Properties
- formation energy (no corrections) (meV per atom) = -1247
- space-group type = No. 10

```
Er4GaTe2Se
1.0
7.2755 0.0000 0.0000
0.0000 4.1661 0.0000
-2.4014 0.0000 7.0266
Er Ga Te Se
4 1 2 1
Direct
0.2328 0.0000 0.2223
0.2494 0.5000 0.7789
0.7506 0.5000 0.2211
0.7672 0.0000 0.7777
0.0000 0.5000 0.0000
0.0000 0.0000 0.5000
0.5000 0.5000 0.5000
0.5000 0.0000 0.0000
```


(7)
A relaxed structure of FeSiOs2, computed with GGA-PBE.

Properties
- formation energy (no corrections) (meV per atom) = 38
- space-group type = No. 10

```
FeSiOs2
1.0
2.7642 0.0000 0.0000
0.0000 3.8198 0.0000
-1.0881 0.0000 5.0907
Fe Si Os
1 1 2
Direct
0.0000 0.0000 0.0000
0.0000 0.0000 0.5000
0.3702 0.5000 0.7433
0.6298 0.5000 0.2567
```


(8)
A relaxed structure of TbNpPdO6, computed with GGA-PBE.

Properties
- formation energy (no corrections) (meV per atom) = -2279
- space-group type = No. 163

```
TbNpPdO6
1.0
5.3685 0.0000 0.0000
-2.6842 4.6492 0.0000
0.0000 0.0000 10.1310
Tb Np Pd O
2 2 2 12
Direct
0.0000 0.0000 0.0000
0.0000 0.0000 0.5000
0.3333 0.6667 0.2500
0.6667 0.3333 0.7500
0.3333 0.6667 0.7500
0.6667 0.3333 0.2500
0.0049 0.3486 0.1356
0.0049 0.6563 0.3644
0.3437 0.3486 0.3644
0.3437 0.9951 0.1356
0.3486 0.0049 0.6356
0.3486 0.3437 0.8644
0.6514 0.6563 0.1356
0.6514 0.9951 0.3644
0.6563 0.0049 0.8644
0.6563 0.6514 0.6356
0.9951 0.3437 0.6356
0.9951 0.6514 0.8644
```


We obtain M_tot values of 0.00 0.00 0.00 1.00 0.00 0.00 0.58 0.23 μB/atom for the records listed above, in that order.
We obtain V values of 31.1 26.5 17.5 21.4 25.4 26.6 13.4 14.0 A^3/atom for the records listed above, in that order.
We obtain DFT total energy values of -88.70 -51.78 -70.86 -112.52 -53.74 -41.02 -36.19 -146.05 eV for the cell shown for the records listed above, in that order.